Computed, not measured: a relaxed Be2GaPt8 crystal at the PBE level of DFT.

Output
N(E_F)   7.24 states/eV per cell
E_form   -0.39 eV per atom
ρ   17.2 g/cm³

Cell and atoms, written as POSCAR:
```
Be2GaPt8
1.0
3.854 0.000 0.000
0.000 5.923 0.116
-1.927 -2.395 6.934
Be Ga Pt
2 1 8
Cartesian
1.927 0.278 4.343
0.000 3.251 2.707
1.927 0.000 0.000
0.000 1.230 5.667
1.927 4.892 2.522
1.927 2.612 4.183
1.927 -0.763 6.444
0.000 0.916 2.867
0.000 -1.364 4.528
1.927 2.299 1.383
0.000 4.291 0.606
```

---

Computed, not measured: a relaxed BeGaPt crystal at the PBE level of DFT.

Output
N(E_F)   0.84 states/eV per cell
E_form   -0.46 eV per atom
ρ   11.5 g/cm³

Cell and atoms, written as POSCAR:
```
BeGaPt
1.0
3.130 0.000 0.000
0.000 3.130 0.000
-1.565 -1.565 4.029
Be Ga Pt
1 1 1
Cartesian
1.565 1.565 0.844
0.000 0.000 2.257
1.565 1.565 3.747
```

---

Computed, not measured: a relaxed BeGa2Pt crystal at the PBE level of DFT.

Output
N(E_F)   3.10 states/eV per cell
E_form   -0.09 eV per atom
ρ   9.3 g/cm³

Cell and atoms, written as POSCAR:
```
BeGa2Pt
1.0
-2.216 2.587 -1.571
-2.031 -2.714 -1.606
-7.334 -0.292 5.386
Be Ga Pt
2 4 2
Cartesian
-2.123 -0.063 -1.588
-5.744 -1.535 1.096
-3.445 1.173 0.183
-3.407 -1.414 0.127
-7.118 -0.300 2.829
-9.191 -0.296 1.280
0.000 0.000 0.000
-5.836 1.116 1.114
```